! Li2CrCd (GGA-PBE, relaxed); values from VASP
! DOS(E_F): 1.2 states/eV/cell
! Energy relative to the elements: 235 meV per atom
! Volume: 17.70 Å³ per atom
&SYSTEM
  ibrav = 0, nat = 4, ntyp = 3
/
ATOMIC_SPECIES
Li 6.94 Li.upf
Cr 52.00 Cr.upf
Cd 112.41 Cd.upf
ATOMIC_POSITIONS crystal
Li 0.000 0.000 0.000
Cr 0.000 0.500 0.500
Li 0.500 0.500 0.000
Cd 0.500 0.000 0.500
CELL_PARAMETERS angstrom
4.750 0.634 0.000
-1.554 4.533 0.000
0.000 0.000 3.145


! BaMgTeI2 (GGA-PBE, relaxed); values from VASP
! DOS(E_F): 0.0 states/eV/cell
! E: -3.1120 eV per atom
! Volume: 37.69 Å³ per atom
&SYSTEM
  ibrav = 0, nat = 5, ntyp = 4
/
ATOMIC_SPECIES
I 126.90 I.upf
Mg 24.30 Mg.upf
Te 127.60 Te.upf
Ba 137.33 Ba.upf
ATOMIC_POSITIONS crystal
I 0.500 0.000 0.000
I 0.000 0.500 0.000
Mg 0.000 0.000 0.000
Te 0.000 0.000 0.500
Ba 0.500 0.500 0.500
CELL_PARAMETERS angstrom
-5.488 -0.193 -1.515
-0.555 -5.013 2.649
-1.450 2.751 4.903


! RbGa3Ru (GGA-PBE, relaxed); values from VASP
! DOS(E_F): 0.1 states/eV/cell
! Energy relative to the elements: -257 meV per atom
! Volume: 24.60 Å³ per atom
&SYSTEM
  ibrav = 0, nat = 5, ntyp = 3
/
ATOMIC_SPECIES
Rb 85.47 Rb.upf
Ga 69.72 Ga.upf
Ru 101.07 Ru.upf
ATOMIC_POSITIONS crystal
Rb 0.500 0.500 0.500
Ga 0.500 0.000 0.000
Ga 0.000 0.000 0.500
Ga 0.000 0.500 0.000
Ru 0.000 0.000 0.000
CELL_PARAMETERS angstrom
-0.506 1.348 -4.760
1.598 -4.484 -1.440
-4.682 -1.676 0.023


! Sr2Cd2As (GGA-PBE, relaxed); values from VASP
! DOS(E_F): 3.1 states/eV/cell
! Energy relative to the elements: -494 meV per atom
! Volume: 31.54 Å³ per atom
&SYSTEM
  ibrav = 0, nat = 5, ntyp = 3
/
ATOMIC_SPECIES
Sr 87.62 Sr.upf
As 74.92 As.upf
Cd 112.41 Cd.upf
ATOMIC_POSITIONS crystal
Sr 0.586 0.586 0.828
As 0.000 0.000 0.000
Sr 0.414 0.414 0.172
Cd 0.250 0.750 0.500
Cd 0.750 0.250 0.500
CELL_PARAMETERS angstrom
4.020 0.000 0.000
0.000 4.020 0.000
2.010 2.010 9.760


Among the records above, which one has the highest volume? BaMgTeI2